A relaxed Nd6GaRu crystal. Source: the Alexandria database, functional PBE-GGA.

```
8
Lattice="3.4587 1.9969 6.6066 -3.4587 1.9969 6.6066 0.0000 -3.9938 6.6066" Properties=species:S:1:pos:R:3 pbc="T T T"
Nd -1.2585 -2.1490 8.2705
Nd -2.4903 0.0154 11.5492
Nd -1.2319 2.1644 8.2705
Nd 1.2319 -2.1644 11.5492
Nd 2.4903 -0.0154 8.2705
Nd 1.2585 2.1490 11.5492
Ga 0.0000 0.0000 9.9099
Ru 0.0000 0.0000 0.0000
```

SG: R-3
DFT formation energy: -0.05 eV per atom
Total magnetization: 0.0 μB per formula unit

A relaxed Ta2ZnHN crystal. Source: the Alexandria database, functional PBE-GGA.

```
5
Lattice="4.9047 0.0000 0.0000 0.0000 4.9047 0.0000 0.0000 0.0000 3.4474" Properties=species:S:1:pos:R:3 pbc="T T T"
Ta 0.0000 2.4523 0.0000
Ta 2.4523 0.0000 0.0000
Zn 0.0000 0.0000 0.0000
H 2.4523 2.4523 1.7237
N 0.0000 0.0000 1.7237
```

E_tot: -0.190 Ha/atom
SG: P4/mmm
Total magnetization: 0.0 μB per formula unit

A relaxed BaRh2O6 crystal. Source: the Alexandria database, functional PBE-GGA.

```
9
Lattice="5.3283 0.0000 0.0000 -2.6642 4.6145 0.0000 0.0000 0.0000 5.6263" Properties=species:S:1:pos:R:3 pbc="T T T"
Ba 0.0000 0.0000 0.0000
Rh 0.0000 3.0763 2.8131
Rh 2.6642 1.5381 2.8131
O -1.0524 1.8228 3.9090
O -1.6118 2.7917 1.7172
O 2.1048 0.0000 3.9090
O 1.0524 1.8228 1.7172
O 3.2236 0.0000 1.7172
O 1.6118 2.7917 3.9090
```

SG: P-31m
Energy relative to the elements, uncorrected: -1161 meV/atom
Total magnetization: 0.0 μB per formula unit

A relaxed TbSmSeN crystal. Source: the Alexandria database, functional PBE-GGA.

```
4
Lattice="1.8639 1.0761 6.6287 -1.8639 1.0761 6.6287 0.0000 -2.1523 6.6287" Properties=species:S:1:pos:R:3 pbc="T T T"
Tb 0.0000 0.0000 0.0000
Sm 0.0000 0.0000 10.6062
Se 0.0000 0.0000 15.2111
N 0.0000 0.0000 5.3698
```

SG: R3m
Energy relative to the elements, uncorrected: -1679 meV/atom
Total magnetization: 0.0 μB per formula unit

A relaxed Ba6CdGa2 crystal. Source: the Alexandria database, functional PBE-GGA.

```
18
Lattice="-5.6198 5.7987 6.0469 5.6198 -5.7987 6.0469 5.6198 5.7987 -6.0469" Properties=species:S:1:pos:R:3 pbc="T T T"
Ba 5.6198 -3.3327 3.9038
Ba 3.1581 0.0000 2.8825
Ba 8.0816 0.0000 2.8825
Ba 3.6080 3.1173 0.0000
Ba 7.6317 3.1173 0.0000
Ba 0.0000 2.4659 2.1431
Ba 5.6198 3.3327 3.9038
Ba -2.0118 2.6814 6.0469
Ba 2.0118 2.6814 6.0469
Ba -2.4617 5.7987 3.1644
Ba 2.4617 5.7987 3.1644
Ba 0.0000 9.1314 2.1431
Cd 5.6198 0.0000 0.0000
Cd 0.0000 5.7987 0.0000
Ga 1.3214 0.0000 0.0000
Ga 9.9183 0.0000 0.0000
Ga 0.0000 0.0000 4.7506
Ga 0.0000 0.0000 7.3432
```

SG: Immm
DFT formation energy: -0.21 eV per atom
Total magnetization: 0.0 μB per formula unit

A relaxed PmBi3 crystal. Source: the Alexandria database, functional PBE-GGA.

```
8
Lattice="6.9279 0.0000 0.0000 -3.4640 5.9998 0.0000 0.0000 0.0000 5.9995" Properties=species:S:1:pos:R:3 pbc="T T T"
Pm 0.0000 3.9998 1.4999
Pm 3.4640 1.9999 4.4996
Bi 0.0000 2.0838 4.4996
Bi -1.6593 4.9578 4.4996
Bi 1.8047 1.0419 1.4999
Bi 1.6593 4.9578 4.4996
Bi 5.1233 1.0419 1.4999
Bi 3.4640 3.9159 1.4999
```

Excess energy over the best structure of this formula in the dataset: 0.025 eV/atom
SG: P6_3/mmc
DFT formation energy: -0.41 eV per atom
Total magnetization: 0.0 μB per formula unit

Number 1: Fermi-level density of states 10.6 states/eV/cell. Number 2: Fermi-level density of states 5.0 states/eV/cell. Number 3: Fermi-level density of states 6.5 states/eV/cell. Number 4: Fermi-level density of states 1.0 states/eV/cell. Number 5: Fermi-level density of states 24.4 states/eV/cell. Number 6: Fermi-level density of states 3.9 states/eV/cell.